## SrPaCuO4 (PBE)

Data for a geometry-optimized SrPaCuO4 structure.

Lattice parameters (Å, degrees): 6.6673 6.6673 6.6673 111.75 105.44 111.30
Fractional coordinates of all 14 atoms:
Sr 0.4680 0.2180 0.2500
Sr 0.5320 0.7820 0.7500
Pa 0.0000 0.0000 0.5000
Pa 0.0000 0.5000 0.0000
Cu 0.0000 0.5000 0.5000
Cu 0.5000 0.5000 0.0000
O 0.1652 0.7394 0.4258
O 0.1863 0.2606 0.9258
O 0.2709 0.2727 0.5018
O 0.2709 0.7691 0.9982
O 0.7291 0.2309 0.0018
O 0.7291 0.7273 0.4982
O 0.8137 0.7394 0.0742
O 0.8348 0.2606 0.5742

Values from the calculation:
crystal system: orthorhombic
calculated volume: 16.24 A^3/atom
E_form (uncorrected): -2.664 eV per atom
space group: No. 74



## SrCd4Rh (PBE)

Data for a geometry-optimized SrCd4Rh structure.

Lattice parameters (Å, degrees): 8.6379 4.3986 7.6180 90.00 90.00 90.00
Fractional coordinates of all 12 atoms:
Sr 0.2500 0.0000 0.1008
Sr 0.7500 0.0000 0.8992
Cd 0.0000 0.0000 0.5000
Cd 0.0610 0.5000 0.8086
Cd 0.2500 0.5000 0.4599
Cd 0.4390 0.5000 0.8086
Cd 0.5000 0.0000 0.5000
Cd 0.5610 0.5000 0.1914
Cd 0.7500 0.5000 0.5401
Cd 0.9390 0.5000 0.1914
Rh 0.2500 0.0000 0.7101
Rh 0.7500 0.0000 0.2899

Values from the calculation:
distance to the lowest polymorph of the same formula: 0.000 eV/atom
crystal system: orthorhombic
calculated volume: 24.12 A^3/atom
space group: No. 51



## K4Ce6F19 (PBE)

Data for a geometry-optimized K4Ce6F19 structure.

Lattice parameters (Å, degrees): 9.3056 9.3056 9.3056 109.47 109.47 109.47
Fractional coordinates of all 29 atoms:
K 0.0000 0.0000 0.2702
K 0.0000 0.2702 0.0000
K 0.2702 0.0000 0.0000
K 0.7298 0.7298 0.7298
Ce 0.1684 0.5000 0.6684
Ce 0.3316 0.8316 0.5000
Ce 0.5000 0.3316 0.8316
Ce 0.5000 0.6684 0.1684
Ce 0.6684 0.1684 0.5000
Ce 0.8316 0.5000 0.3316
F 0.0000 0.0000 0.0000
F 0.0000 0.3533 0.3533
F 0.0000 0.6467 0.6467
F 0.0288 0.7482 0.3440
F 0.2518 0.2806 0.5957
F 0.2806 0.5957 0.2518
F 0.3152 0.7194 0.9712
F 0.3440 0.0288 0.7482
F 0.3533 0.0000 0.3533
F 0.3533 0.3533 0.0000
F 0.4043 0.6848 0.6560
F 0.5957 0.2518 0.2806
F 0.6467 0.0000 0.6467
F 0.6467 0.6467 0.0000
F 0.6560 0.4043 0.6848
F 0.6848 0.6560 0.4043
F 0.7194 0.9712 0.3152
F 0.7482 0.3440 0.0288
F 0.9712 0.3152 0.7194

Values from the calculation:
crystal system: cubic
calculated volume: 21.39 A^3/atom
E_form (uncorrected): -3.426 eV per atom
space group: No. 197



## LiLaLu (PBE)

Data for a geometry-optimized LiLaLu structure.

Lattice parameters (Å, degrees): 3.5173 3.5173 8.4114 90.00 90.00 120.00
Fractional coordinates of all 3 atoms:
Li 0.0000 0.0000 0.0000
La 0.3333 0.6667 0.6565
Lu 0.6667 0.3333 0.3155

Values from the calculation:
distance to the lowest polymorph of the same formula: 0.032 eV/atom
crystal system: trigonal
calculated volume: 30.04 A^3/atom
space group: No. 156



## MgZn2Se2 (PBE)

Data for a geometry-optimized MgZn2Se2 structure.

Lattice parameters (Å, degrees): 7.0470 7.0470 7.0470 125.66 83.49 122.03
Fractional coordinates of all 10 atoms:
Mg 0.2500 0.2500 0.0000
Mg 0.7500 0.7500 0.0000
Zn 0.1344 0.6518 0.7862
Zn 0.3656 0.1518 0.5174
Zn 0.6344 0.8482 0.4826
Zn 0.8656 0.3482 0.2138
Se 0.1244 0.2409 0.3654
Se 0.3756 0.7409 0.1165
Se 0.6244 0.2591 0.8835
Se 0.8756 0.7591 0.6346

Values from the calculation:
distance to the lowest polymorph of the same formula: 0.158 eV/atom
crystal system: orthorhombic
calculated volume: 23.11 A^3/atom
E_form (uncorrected): -0.375 eV per atom
space group: No. 72



## LiAgSnCl6 (PBE)

Data for a geometry-optimized LiAgSnCl6 structure.

Lattice parameters (Å, degrees): 6.4808 6.4808 12.0952 90.00 90.00 120.00
Fractional coordinates of all 18 atoms:
Li 0.3333 0.6667 0.2500
Li 0.6667 0.3333 0.7500
Ag 0.0000 0.0000 0.0000
Ag 0.0000 0.0000 0.5000
Sn 0.3333 0.6667 0.7500
Sn 0.6667 0.3333 0.2500
Cl 0.0114 0.3597 0.6328
Cl 0.0114 0.6517 0.8672
Cl 0.3483 0.3597 0.8672
Cl 0.3483 0.9886 0.6328
Cl 0.3597 0.0114 0.1328
Cl 0.3597 0.3483 0.3672
Cl 0.6403 0.6517 0.6328
Cl 0.6403 0.9886 0.8672
Cl 0.6517 0.0114 0.3672
Cl 0.6517 0.6403 0.1328
Cl 0.9886 0.3483 0.1328
Cl 0.9886 0.6403 0.3672

Values from the calculation:
crystal system: trigonal
calculated volume: 24.44 A^3/atom
E_form (uncorrected): -1.013 eV per atom
space group: No. 163



M_tot for every record listed, in sequence, given in μB/f.u.: 0.0 0.0 9.0 0.2 0.0 0.0.